## ReAg2Br (GGA-PBEsol)

Data for crystalline ReAg2Br at its relaxed geometry.

abc: 5.2611 5.2611 2.6430
angles: 90.00 90.00 90.00
With the nearest neighbours (Å) after each atom.
Fractional positions:
Re 0.0000 0.0000 0.0000  2 Re 2.64, 8 Ag 2.94
Ag 0.0000 0.5000 0.5000  2 Ag 2.64, 4 Br 2.94, 4 Re 2.94
Ag 0.5000 0.0000 0.5000  2 Ag 2.64, 4 Br 2.94, 4 Re 2.94
Br 0.5000 0.5000 0.0000  2 Br 2.64, 8 Ag 2.94

As for the total moment: 1.4 Bohr magnetons per cell. Its space group is P4/mmm, No. 123. The value obtained for the total energy is -4.40 eV/atom. Its relative energy among the computed polymorphs is 0.4054 eV/atom. The formation energy without anion corrections comes out at 1.060 eV/atom. The calculated volume is 18.3 Å³/atom.

## Re2AgBr (GGA-PBEsol)

Data for crystalline Re2AgBr at its relaxed geometry.

abc: 9.0335 9.0335 9.0335
angles: 18.21 18.21 18.21
With the nearest neighbours (Å) after each atom.
Fractional positions:
Re 0.2471 0.2471 0.2471  3 Br 2.71, 3 Ag 2.83, 6 Re 2.86
Re 0.7529 0.7529 0.7529  3 Br 2.71, 3 Ag 2.83, 6 Re 2.86
Ag 0.0000 0.0000 0.0000  6 Re 2.83, 6 Ag 2.86
Br 0.5000 0.5000 0.5000  6 Re 2.71, 6 Br 2.86

As for the total moment: 0.0 Bohr magnetons per cell. Its space group is R-3m, No. 166. The value obtained for the total energy is -6.93 eV/atom. Its relative energy among the computed polymorphs is 0.0000 eV/atom. The formation energy without anion corrections comes out at 1.029 eV/atom. The calculated volume is 15.7 Å³/atom.

## Re2AgBr (GGA-PBEsol)

Data for crystalline Re2AgBr at its relaxed geometry.

abc: 4.8642 4.8642 4.9019
angles: 100.74 100.74 34.10
With the nearest neighbours (Å) after each atom.
Fractional positions:
Re 0.2463 0.2463 0.2533  3 Br 2.78-2.87, 3 Ag 2.79-2.82, 6 Re 2.80-2.88
Re 0.7537 0.7537 0.7467  3 Br 2.78-2.87, 3 Ag 2.79-2.82, 6 Re 2.80-2.88
Ag 0.0000 0.0000 0.5000  6 Re 2.79-2.82, 4 Br 2.84, 2 Ag 2.85
Br 0.5000 0.5000 0.0000  6 Re 2.78-2.87, 4 Ag 2.84, 2 Br 2.85

As for the total moment: 0.0 Bohr magnetons per cell. Its space group is C2/m, No. 12. The value obtained for the total energy is -6.83 eV/atom. Its relative energy among the computed polymorphs is 0.1066 eV/atom. The formation energy without anion corrections comes out at 1.136 eV/atom. The calculated volume is 15.9 Å³/atom.

## Re2AgBr (GGA-PBEsol)

Data for crystalline Re2AgBr at its relaxed geometry.

abc: 3.4834 4.8306 4.7562
angles: 90.00 100.03 90.00
With the nearest neighbours (Å) after each atom.
Fractional positions:
Re 0.1926 0.0000 0.3293  2 Re 2.28-2.45
Re 0.8074 0.0000 0.6707  2 Re 2.28-2.45
Ag 0.5000 0.5000 0.5000  2 Br 2.69, 4 Re 2.71
Br 0.0000 0.5000 0.0000  2 Ag 2.69, 4 Re 2.89

As for the total moment: 0.0 Bohr magnetons per cell. Its space group is P2/m, No. 10. The value obtained for the total energy is -6.84 eV/atom. Its relative energy among the computed polymorphs is 0.0951 eV/atom. The formation energy without anion corrections comes out at 1.124 eV/atom. The calculated volume is 19.7 Å³/atom.

Q: The highest calculated volume belongs to which entry?
A: number 4